Arrangement a

Density functional theory data (PBE) for YEr2Al after structural relaxation.

```
4
Lattice="-0.323 2.014 -4.297 2.944 -3.260 -1.749 -3.686 -2.779 -1.026" Properties=species:S:1:pos:R:3 pbc="T T T"
Er 1.472 -1.630 -0.875
Y -0.161 1.007 -2.149
Al -0.532 -2.012 -3.536
Er -1.843 -1.389 -0.513
```


Arrangement b

Density functional theory data (PBE) for YEr2Al after structural relaxation.

```
8
Lattice="5.292 0.000 0.000 0.000 6.782 0.011 0.000 -3.376 5.882" Properties=species:S:1:pos:R:3 pbc="T T T"
Er 0.000 3.415 3.836
Al 0.000 -0.002 3.932
Y 2.646 1.627 4.870
Er 0.000 1.787 1.019
Er 0.000 5.014 1.033
Al 2.646 3.400 1.966
Er 2.646 -1.612 4.863
Y 2.646 -0.002 2.053
```


arrangement b ends up most stable, edging out the next structure by 8 meV/atom.


Arrangement a

Density functional theory data (PBE) for Y2ErAl9 after structural relaxation.

```
12
Lattice="-4.116 -1.002 -0.364 1.065 -3.928 -1.233 -0.137 -3.856 12.164" Properties=species:S:1:pos:R:3 pbc="T T T"
Al -2.127 -2.429 5.900
Al 0.464 -3.892 5.465
Al 0.510 -2.601 1.393
Y -0.046 -1.283 4.046
Al -1.571 -3.749 3.254
Er 0.000 0.000 0.000
Al -1.617 -5.036 7.313
Al -2.081 -1.138 1.827
Al 0.418 -5.183 9.538
Al -1.526 -2.465 -0.799
Y -0.092 -2.573 8.117
Al -2.173 -3.720 9.973
```


Arrangement b

Density functional theory data (PBE) for Y2ErAl9 after structural relaxation.

```
12
Lattice="-5.233 -0.833 -1.703 -0.995 -1.707 -5.203 -1.609 -9.179 0.342" Properties=species:S:1:pos:R:3 pbc="T T T"
Al -4.354 -7.503 -1.139
Al -2.974 -3.344 -2.767
Er 0.000 0.000 0.000
Al -3.483 -4.216 -5.426
Y -1.808 -5.629 -0.785
Al -3.918 -5.860 -3.282
Al -4.863 -8.375 -3.798
Al -3.688 -9.976 -1.976
Al -2.188 -7.949 -2.928
Al -5.649 -3.770 -3.637
Al -4.149 -1.743 -4.588
Y -6.029 -6.090 -5.780
```


arrangement a ends up most stable, edging out the next structure by 64 meV/atom.


Arrangement a

Density functional theory data (PBE) for Y2ErAl after structural relaxation.

```
8
Lattice="-1.537 -3.597 3.259 6.409 -0.887 2.044 0.858 4.240 5.084" Properties=species:S:1:pos:R:3 pbc="T T T"
Y 2.729 -2.398 4.605
Er -0.456 -2.329 3.179
Er 6.186 2.086 7.207
Y 1.449 0.494 3.217
Al 0.903 -0.230 6.137
Al 4.827 -0.013 4.250
Y 3.001 2.155 5.782
Y 4.281 -0.737 7.170
```


Arrangement b

Density functional theory data (PBE) for Y2ErAl after structural relaxation.

```
4
Lattice="-2.281 -0.958 2.493 -1.931 -1.673 -2.410 4.743 -7.550 1.440" Properties=species:S:1:pos:R:3 pbc="T T T"
Al -2.106 -1.315 0.041
Y 1.015 -1.617 0.308
Er 0.265 -5.090 0.761
Y 3.727 -5.933 1.132
```


arrangement a ends up most stable, edging out the next structure by 13 meV/atom.


Arrangement a

Density functional theory data (PBE) for Y2ErAl after structural relaxation.

```
4
Lattice="-1.113 5.227 -0.202 -4.921 1.734 1.176 -0.866 2.727 4.519" Properties=species:S:1:pos:R:3 pbc="T T T"
Er 0.000 0.000 0.000
Al -3.450 4.844 2.746
Y -1.725 2.422 1.373
Y -5.174 7.266 4.119
```


Arrangement b

Density functional theory data (PBE) for Y2ErAl after structural relaxation.

```
8
Lattice="5.330 0.000 0.000 0.000 6.038 0.000 0.000 0.000 6.691" Properties=species:S:1:pos:R:3 pbc="T T T"
Y 2.665 0.995 1.642
Er 0.000 2.235 3.346
Y 0.000 5.043 4.987
Y 0.000 5.043 1.704
Al 2.665 4.001 3.346
Y 2.665 0.995 5.049
Al 0.000 2.037 0.000
Er 2.665 3.803 0.000
```


arrangement b ends up most stable, edging out the next structure by 107 meV/atom.


Arrangement a

Density functional theory data (PBE) for Y2ErAl after structural relaxation.

```
4
Lattice="3.591 0.000 0.000 1.795 3.110 0.000 1.795 1.037 10.351" Properties=species:S:1:pos:R:3 pbc="T T T"
Y 1.795 1.037 2.266
Al 3.591 2.073 0.010
Er 3.591 2.073 5.165
Y 1.795 1.037 8.086
```


Arrangement b

Density functional theory data (PBE) for Y2ErAl after structural relaxation.

```
4
Lattice="-1.237 -4.043 -2.142 2.283 -2.484 3.371 -3.999 -0.152 2.596" Properties=species:S:1:pos:R:3 pbc="T T T"
Er -1.476 -3.339 1.913
Y -1.999 -0.076 1.298
Y 1.141 -1.242 1.686
Al -0.618 -2.021 -1.071
```


arrangement b ends up most stable, edging out the next structure by 103 meV/atom.


Arrangement a

Density functional theory data (PBE) for YEr2Al2 after structural relaxation.

```
10
Lattice="3.583 0.000 -0.480 0.000 5.120 0.000 -0.026 0.000 13.429" Properties=species:S:1:pos:R:3 pbc="T T T"
Al 2.287 3.840 3.474
Al 1.593 3.840 11.899
Y 3.047 3.840 9.112
Er 0.165 3.840 1.235
Er 2.733 1.280 6.783
Y 0.511 1.280 3.836
Er 3.392 1.280 11.713
Er 0.824 3.840 6.165
Al 1.270 1.280 9.474
Al 1.964 1.280 1.050
```


Arrangement b

Density functional theory data (PBE) for YEr2Al2 after structural relaxation.

```
10
Lattice="3.608 0.000 0.000 0.000 5.561 -0.014 0.000 -1.384 13.188" Properties=species:S:1:pos:R:3 pbc="T T T"
Er 2.706 3.479 6.088
Al 0.902 0.621 12.618
Al 2.706 3.556 0.556
Al 0.902 3.495 8.683
Er 0.902 3.481 11.709
Y 2.706 0.719 10.087
Er 0.902 0.698 7.087
Er 2.706 0.696 1.465
Al 2.706 0.682 4.492
Y 0.902 3.458 3.087
```


arrangement a ends up most stable, edging out the next structure by 176 meV/atom.


Arrangement a

Density functional theory data (PBE) for Y2Er3Al3 after structural relaxation.

```
8
Lattice="4.777 0.000 0.000 0.000 4.764 0.000 0.000 0.000 8.778" Properties=species:S:1:pos:R:3 pbc="T T T"
Y 0.000 0.000 6.391
Al 2.388 0.000 4.389
Al 0.000 2.382 4.389
Y 0.000 0.000 2.387
Al 0.000 2.382 0.000
Er 2.388 2.382 6.373
Er 2.388 0.000 0.000
Er 2.388 2.382 2.404
```


Arrangement b

Density functional theory data (PBE) for Y2Er3Al3 after structural relaxation.

```
8
Lattice="3.619 0.000 -0.583 -0.193 4.971 -1.195 -0.058 0.050 11.165" Properties=species:S:1:pos:R:3 pbc="T T T"
Er 1.810 0.000 -0.291
Y 2.570 1.165 4.431
Al 2.987 4.437 7.021
Al -0.096 2.486 -0.598
Y 0.798 3.855 4.955
Al 0.381 0.584 2.366
Er 2.108 3.091 1.565
Er 1.260 1.930 7.822
```


arrangement b ends up most stable, edging out the next structure by 16 meV/atom.


Arrangement a

Density functional theory data (PBE) for YEr3Al2 after structural relaxation.

```
12
Lattice="-2.556 -3.959 -1.843 5.410 -2.088 -3.017 2.301 -5.024 7.603" Properties=species:S:1:pos:R:3 pbc="T T T"
Al 0.180 -3.144 -0.443
Er 1.611 -6.499 4.781
Al 3.061 -3.852 4.029
Er 5.983 -5.124 2.711
Er 2.830 -4.297 -1.640
Y -0.063 -4.346 2.477
Er 5.348 -2.238 -2.610
Al 4.517 -7.752 3.441
Er 4.751 -5.796 5.864
Al 5.096 -3.433 0.307
Y 2.832 -5.805 1.596
Er 2.448 -2.266 1.474
```


Arrangement b

Density functional theory data (PBE) for YEr3Al2 after structural relaxation.

```
12
Lattice="5.135 0.000 0.000 -2.568 8.384 -0.909 0.000 -4.480 7.763" Properties=species:S:1:pos:R:3 pbc="T T T"
Al 0.000 0.036 6.317
Y 2.568 2.078 6.451
Y 0.000 1.826 0.403
Al 2.568 3.868 0.538
Er 2.568 -1.171 5.221
Er 0.000 2.481 4.231
Al 0.000 7.473 -0.010
Er 2.568 1.423 2.623
Er 2.568 4.707 3.820
Er 0.000 -0.803 3.034
Er 0.000 5.075 1.633
Al 2.568 -3.569 6.864
```


arrangement a ends up most stable, edging out the next structure by 105 meV/atom.


Arrangement a

Density functional theory data (PBE) for Y2Er2Al3 after structural relaxation.

```
7
Lattice="3.371 0.000 0.447 0.000 3.409 0.000 -0.296 0.000 15.156" Properties=species:S:1:pos:R:3 pbc="T T T"
Er 0.902 1.705 6.127
Al 2.838 0.000 4.459
Al 0.236 3.409 11.144
Er 2.173 1.705 9.476
Y 1.422 1.705 2.209
Al 0.000 0.000 0.000
Y 1.653 1.705 13.394
```


Arrangement b

Density functional theory data (PBE) for Y2Er2Al3 after structural relaxation.

```
7
Lattice="-3.398 -1.405 0.827 0.168 1.058 -6.109 3.680 -7.575 2.262" Properties=species:S:1:pos:R:3 pbc="T T T"
Y -0.846 -4.588 -2.685
Er -0.467 -1.051 -3.706
Y 1.297 -3.335 -0.336
Al 1.903 -5.831 -2.092
Al 0.000 0.000 0.000
Er 0.918 -6.872 0.685
Al -1.452 -2.092 -0.928
```


arrangement a ends up most stable, edging out the next structure by 11 meV/atom.


Arrangement a

Density functional theory data (PBE) for YEr3Al8 after structural relaxation.

```
12
Lattice="5.531 0.000 0.000 2.766 4.790 0.000 2.766 1.597 9.077" Properties=species:S:1:pos:R:3 pbc="T T T"
Al 9.681 5.589 6.247
Al 2.766 1.597 3.973
Er 2.766 1.597 9.076
Al 8.297 3.192 6.247
Er 5.531 3.193 4.552
Y 8.297 4.790 3.399
Al 5.531 4.790 1.695
Al 6.914 2.395 1.695
Al 6.912 5.589 6.247
Al 8.297 4.790 8.509
Al 4.148 2.395 1.695
Er 5.531 3.193 7.934
```


Arrangement b

Density functional theory data (PBE) for YEr3Al8 after structural relaxation.

```
12
Lattice="5.529 0.000 0.000 -2.764 4.788 0.000 0.000 0.000 9.076" Properties=species:S:1:pos:R:3 pbc="T T T"
Al 2.764 0.044 6.815
Al 1.420 2.372 6.815
Al 4.108 2.372 6.815
Al 1.420 4.012 2.263
Y 0.000 0.000 5.151
Er 2.764 1.596 3.917
Al -1.420 4.012 2.263
Al 0.000 3.192 0.002
Er 2.764 1.596 0.612
Er 0.000 0.000 8.468
Al 0.000 3.192 4.535
Al 0.000 1.552 2.263
```


arrangement a ends up most stable, edging out the next structure by 9 meV/atom.


Arrangement a

Density functional theory data (PBE) for YErAlZn after structural relaxation.

```
4
Lattice="5.062 0.000 0.000 2.531 4.384 0.000 2.531 1.461 4.133" Properties=species:S:1:pos:R:3 pbc="T T T"
Y 7.593 4.384 3.100
Zn 0.000 0.000 0.000
Er 2.531 1.461 1.033
Al 5.062 2.923 2.067
```


Arrangement b

Density functional theory data (PBE) for YErAlZn after structural relaxation.

```
4
Lattice="3.562 0.000 0.000 0.000 3.562 0.000 0.000 0.000 7.197" Properties=species:S:1:pos:R:3 pbc="T T T"
Er 0.000 0.000 6.209
Y 0.000 0.000 2.541
Zn 1.781 1.781 0.725
Al 1.781 1.781 4.400
```


arrangement b ends up most stable, edging out the next structure by 7 meV/atom.


Arrangement a

Density functional theory data (PBE) for Er4Al3Zn after structural relaxation.

```
8
Lattice="-2.348 -0.870 -2.645 3.409 -0.914 -2.726 -0.033 -10.966 3.634" Properties=species:S:1:pos:R:3 pbc="T T T"
Er -1.196 -7.645 1.067
Al 1.686 -6.680 0.700
Al -0.014 -4.736 1.570
Er 0.519 -4.628 -1.447
Al -1.205 -10.674 2.071
Er -0.005 -1.689 0.560
Zn 0.528 -1.643 -2.436
Er 1.676 -9.734 1.712
```


Arrangement b

Density functional theory data (PBE) for Er4Al3Zn after structural relaxation.

```
8
Lattice="-2.071 1.494 -2.478 -2.751 -0.073 2.255 3.588 12.935 4.798" Properties=species:S:1:pos:R:3 pbc="T T T"
Er 1.342 4.840 1.795
Zn -2.411 0.710 -0.112
Er 0.435 1.568 0.582
Er 3.153 11.367 4.216
Er 2.245 8.095 3.003
Al -0.617 7.177 2.287
Al 0.288 10.442 3.498
Al -1.523 3.913 1.076
```


arrangement b ends up most stable, edging out the next structure by 25 meV/atom.